Entry 1:
The following is a PBE-GGA calculation of a relaxed structure of YHg2Br2, from the Alexandria database.

## Properties
- space-group type = P4/mbm (127)
- raw formation energy (eV per atom) = -0.7186
- crystal system = tetragonal

Cell and atoms, written as POSCAR:
```
YHg2Br2
1.0
7.476 0.000 0.000
0.000 7.476 0.000
0.000 0.000 6.624
Br Hg Y
4 4 2
direct
0.167 0.333 0.000
0.333 0.833 0.000
0.667 0.167 0.000
0.833 0.667 0.000
0.163 0.663 0.500
0.663 0.837 0.500
0.837 0.337 0.500
0.337 0.163 0.500
0.000 0.000 0.000
0.500 0.500 0.000
```

***

Entry 2:
The following is a PBE-GGA calculation of a relaxed structure of MgAsSe2N, from the Alexandria database.

## Properties
- space-group type = P4/mmm (123)
- raw formation energy (eV per atom) = 0.4082
- energy above the most stable polymorph in this dataset (meV/atom) = 0.0
- crystal system = tetragonal

Cell and atoms, written as POSCAR:
```
MgAsSe2N
1.0
5.181 0.000 0.000
0.000 5.181 0.000
0.000 0.000 3.666
Se As Mg N
2 1 1 1
direct
0.500 0.000 0.000
0.000 0.500 0.000
0.000 0.000 0.000
0.500 0.500 0.500
0.000 0.000 0.500
```

***

Entry 3:
The following is a PBE-GGA calculation of a relaxed structure of Tb2Pt2Rh, from the Alexandria database.

## Properties
- space-group type = Ibam (72)
- formation energy from the elements (meV/atom) = -877
- crystal system = orthorhombic

Cell and atoms, written as POSCAR:
```
Tb2Pt2Rh
1.0
5.887 0.000 0.000
0.000 6.168 0.000
-2.944 -3.084 6.171
Tb Rh Pt
4 2 4
direct
0.645 0.361 0.290
0.355 0.639 0.710
0.855 0.071 0.710
0.145 0.929 0.290
0.250 0.500 0.000
0.750 0.500 0.000
0.128 0.368 0.256
0.372 0.112 0.744
0.872 0.632 0.744
0.628 0.888 0.256
```

***

Entry 4:
The following is a PBE-GGA calculation of a relaxed structure of ZrCdTc2, from the Alexandria database.

## Properties
- space-group type = I-4m2 (119)
- formation energy from the elements (meV/atom) = 193
- crystal system = tetragonal

Cell and atoms, written as POSCAR:
```
ZrCdTc2
1.0
5.042 0.018 0.000
1.670 4.757 0.000
-3.356 -2.388 2.908
Zr Tc Cd
1 2 1
direct
0.500 0.500 0.000
0.000 0.000 0.000
0.250 0.750 0.500
0.750 0.250 0.500
```

***

Entry 5:
The following is a PBE-GGA calculation of a relaxed structure of NaBe3Au3, from the Alexandria database.

## Properties
- space-group type = Pm-3n (223)
- formation energy from the elements (meV/atom) = 62
- crystal system = cubic

Cell and atoms, written as POSCAR:
```
NaBe3Au3
1.0
-1.499 6.173 -0.919
0.555 -0.810 -6.343
-6.216 -1.561 -0.344
Na Be Au
2 6 6
direct
0.000 0.000 0.000
0.500 0.500 0.500
0.750 0.000 0.500
0.500 0.750 0.000
0.250 0.000 0.500
0.000 0.500 0.250
0.500 0.250 0.000
0.000 0.500 0.750
0.250 0.500 0.000
0.750 0.500 0.000
0.500 0.000 0.750
0.000 0.750 0.500
0.500 0.000 0.250
0.000 0.250 0.500
```

***

Entry 6:
The following is a PBE-GGA calculation of a relaxed structure of LaMgTa2, from the Alexandria database.

## Properties
- space-group type = I-42d (122)
- formation energy from the elements (meV/atom) = 805
- crystal system = tetragonal

Cell and atoms, written as POSCAR:
```
LaMgTa2
1.0
-0.861 4.084 -0.591
-4.126 -0.849 0.150
-2.428 3.128 10.123
La Ta Mg
2 4 2
direct
0.750 0.250 0.500
0.000 0.000 0.000
0.621 0.125 0.250
0.875 0.871 0.750
0.375 0.379 0.750
0.129 0.625 0.250
0.250 0.750 0.500
0.500 0.500 0.000
```